# Gd3Co2Ge4

Crystalline Gd3Co2Ge4 at its relaxed geometry (PBE-GGA, the Alexandria database).

It has space group C2/m (No. 12), with a = 10.8123 Å, b = 4.1726 Å, c = 8.0811 Å, α = 90.00°, β = 107.53° and γ = 90.00°. Symmetry generates all atoms from Gd at (0.0000, 0.0000, 0.0000), Gd at (0.1209, 0.5000, 0.6920), Co at (0.1944, 0.5000, 0.3726), Ge at (0.1013, 0.0000, 0.3983) and Ge at (0.2099, 0.5000, 0.0813).

The value obtained for the formation energy is -708 meV/atom. The calculation puts the total energy at -9.0332 eV/atom. For the volume, the calculation gives 348 Å³/cell.